! Be2NiPd2 | the Alexandria database | PBE-GGA | optimized geometry; values from VASP
! * calculated total energy: -5.10 eV/atom
! * DFT formation energy: -0.377 eV/atom
! * distance to the lowest polymorph of the same formula: 0.0 kJ/mol of atoms
! * space group: P4/mbm (127)
! * total magnetic moment: 0.0 μB per formula unit
&SYSTEM
  ibrav = 0, nat = 10, ntyp = 3
/
ATOMIC_SPECIES
Be 9.01 Be.upf
Pd 106.42 Pd.upf
Ni 58.69 Ni.upf
ATOMIC_POSITIONS crystal
Be 0.3665 0.8665 0.0000
Be 0.8665 0.6335 0.0000
Be 0.6335 0.1335 0.0000
Be 0.1335 0.3665 0.0000
Pd 0.3355 0.1645 0.5000
Pd 0.8355 0.3355 0.5000
Pd 0.6645 0.8355 0.5000
Pd 0.1645 0.6645 0.5000
Ni 0.0000 0.0000 0.0000
Ni 0.5000 0.5000 0.0000
CELL_PARAMETERS angstrom
6.3539 0.0000 0.0000
0.0000 6.3539 0.0000
0.0000 0.0000 2.8347

! Be5NiPd6 | the Alexandria database | PBE-GGA | optimized geometry; values from VASP
! * calculated total energy: -5.11 eV/atom
! * DFT formation energy: -0.481 eV/atom
! * space group: Cmmm (65)
! * total magnetic moment: 0.0 μB per formula unit
&SYSTEM
  ibrav = 0, nat = 12, ntyp = 3
/
ATOMIC_SPECIES
Ni 58.69 Ni.upf
Be 9.01 Be.upf
Pd 106.42 Pd.upf
ATOMIC_POSITIONS crystal
Ni 0.0000 0.0000 0.0000
Be 0.6654 0.5000 0.3303
Be 0.3346 0.5000 0.6697
Be 0.6590 0.0000 0.3172
Be 0.0000 0.5000 0.0000
Be 0.3410 0.0000 0.6828
Pd 0.5000 0.7357 0.0000
Pd 0.8290 0.7454 0.6583
Pd 0.5000 0.2643 0.0000
Pd 0.1710 0.2546 0.3417
Pd 0.8290 0.2546 0.6583
Pd 0.1710 0.7454 0.3417
CELL_PARAMETERS angstrom
3.9297 0.0016 -0.8181
-0.0025 5.8524 -0.0006
-0.7405 0.0003 6.2889

! Be2NiPd | the Alexandria database | PBE-GGA | optimized geometry; values from VASP
! * calculated total energy: -4.66 eV/atom
! * DFT formation energy: -0.057 eV/atom
! * space group: I-42d (122)
! * total magnetic moment: 0.0 μB per formula unit
&SYSTEM
  ibrav = 0, nat = 8, ntyp = 3
/
ATOMIC_SPECIES
Be 9.01 Be.upf
Ni 58.69 Ni.upf
Pd 106.42 Pd.upf
ATOMIC_POSITIONS crystal
Be 0.1423 0.6250 0.2500
Be 0.8750 0.8577 0.7500
Be 0.6077 0.1250 0.2500
Be 0.3750 0.3923 0.7500
Ni 0.5000 0.5000 0.0000
Ni 0.2500 0.7500 0.5000
Pd 0.0000 0.0000 0.0000
Pd 0.7500 0.2500 0.5000
CELL_PARAMETERS angstrom
5.9128 0.0000 0.0000
0.0000 5.9128 0.0000
2.9564 2.9564 2.5577

! BeNiPd2 | the Alexandria database | PBE-GGA | optimized geometry; values from VASP
! * calculated total energy: -4.75 eV/atom
! * DFT formation energy: 0.222 eV/atom
! * space group: I-42d (122)
! * total magnetic moment: 0.0 μB per formula unit
&SYSTEM
  ibrav = 0, nat = 8, ntyp = 3
/
ATOMIC_SPECIES
Ni 58.69 Ni.upf
Pd 106.42 Pd.upf
Be 9.01 Be.upf
ATOMIC_POSITIONS crystal
Ni 0.7500 0.2500 0.5000
Ni 0.0000 0.0000 0.0000
Pd 0.6193 0.1250 0.2500
Pd 0.1307 0.6250 0.2500
Pd 0.3750 0.3807 0.7500
Pd 0.8750 0.8693 0.7500
Be 0.2500 0.7500 0.5000
Be 0.5000 0.5000 0.0000
CELL_PARAMETERS angstrom
-2.8669 -2.2266 -0.6993
2.0100 -2.9186 1.0523
-3.0776 -1.5989 7.9371

! BeNi3Pd | the Alexandria database | PBE-GGA | optimized geometry; values from VASP
! * calculated total energy: -4.96 eV/atom
! * DFT formation energy: 0.297 eV/atom
! * distance to the lowest polymorph of the same formula: 0.0 kJ/mol of atoms
! * space group: Pm-3m (221)
! * total magnetic moment: 0.0 μB per formula unit
&SYSTEM
  ibrav = 0, nat = 5, ntyp = 3
/
ATOMIC_SPECIES
Pd 106.42 Pd.upf
Ni 58.69 Ni.upf
Be 9.01 Be.upf
ATOMIC_POSITIONS crystal
Pd 0.5000 0.5000 0.5000
Ni 0.0000 0.0000 0.5000
Ni 0.5000 0.0000 0.0000
Ni 0.0000 0.5000 0.0000
Be 0.0000 0.0000 0.0000
CELL_PARAMETERS angstrom
-1.5098 3.4992 -0.8145
-0.6998 -1.1530 -3.6562
-3.5239 -1.2702 1.0751

! Be17NiPd | the Alexandria database | PBE-GGA | optimized geometry; values from VASP
! * calculated total energy: -4.02 eV/atom
! * DFT formation energy: -0.104 eV/atom
! * space group: R3m (160)
! * total magnetic moment: 0.0 μB per formula unit
&SYSTEM
  ibrav = 0, nat = 19, ntyp = 3
/
ATOMIC_SPECIES
Be 9.01 Be.upf
Ni 58.69 Ni.upf
Pd 106.42 Pd.upf
ATOMIC_POSITIONS crystal
Be 0.8492 0.3424 0.3424
Be 0.6904 0.0052 0.3080
Be 0.0984 0.0984 0.0984
Be 0.3080 0.6904 0.0052
Be 0.3424 0.3424 0.8492
Be 0.6539 0.1721 0.6539
Be 0.0052 0.3080 0.6904
Be 0.3080 0.0052 0.6904
Be 0.1721 0.6539 0.6539
Be 0.9026 0.9026 0.9026
Be 0.3424 0.8492 0.3424
Be 0.0011 0.0011 0.5002
Be 0.5002 0.0011 0.0011
Be 0.0052 0.6904 0.3080
Be 0.6539 0.6539 0.1721
Be 0.0011 0.5002 0.0011
Be 0.6904 0.3080 0.0052
Ni 0.3115 0.3115 0.3115
Pd 0.6638 0.6638 0.6638
CELL_PARAMETERS angstrom
-2.0955 -4.2144 -2.8441
4.5281 -1.4716 -2.7518
1.6537 -4.1036 3.2660

! BeNi2Pd | the Alexandria database | PBE-GGA | optimized geometry; values from VASP
! * calculated total energy: -4.98 eV/atom
! * DFT formation energy: 0.139 eV/atom
! * space group: I-42d (122)
! * total magnetic moment: 0.0 μB per formula unit
&SYSTEM
  ibrav = 0, nat = 8, ntyp = 3
/
ATOMIC_SPECIES
Be 9.01 Be.upf
Ni 58.69 Ni.upf
Pd 106.42 Pd.upf
ATOMIC_POSITIONS crystal
Be 0.5000 0.5000 0.0000
Be 0.2500 0.7500 0.5000
Ni 0.1414 0.6250 0.2500
Ni 0.8750 0.8586 0.7500
Ni 0.6086 0.1250 0.2500
Ni 0.3750 0.3914 0.7500
Pd 0.0000 0.0000 0.0000
Pd 0.7500 0.2500 0.5000
CELL_PARAMETERS angstrom
-1.6177 -2.5245 -1.4783
1.7693 -2.1896 1.8029
-5.9827 -2.1230 6.3922

! BeNiPd2 | the Alexandria database | PBE-GGA | optimized geometry; values from VASP
! * calculated total energy: -5.27 eV/atom
! * DFT formation energy: -0.295 eV/atom
! * space group: P4/mmm (123)
! * total magnetic moment: 0.5 μB per formula unit
&SYSTEM
  ibrav = 0, nat = 4, ntyp = 3
/
ATOMIC_SPECIES
Be 9.01 Be.upf
Pd 106.42 Pd.upf
Ni 58.69 Ni.upf
ATOMIC_POSITIONS crystal
Be 0.5000 0.5000 0.0000
Pd 0.0000 0.0000 0.7801
Pd 0.0000 0.0000 0.2199
Ni 0.5000 0.5000 0.5000
CELL_PARAMETERS angstrom
-0.3094 -0.5703 -2.6913
1.7329 -2.1438 0.2550
-4.9757 -3.8568 1.3894

! Be2NiPd | the Alexandria database | PBE-GGA | optimized geometry; values from VASP
! * calculated total energy: -5.12 eV/atom
! * DFT formation energy: -0.514 eV/atom
! * space group: P4/mmm (123)
! * total magnetic moment: 0.0 μB per formula unit
&SYSTEM
  ibrav = 0, nat = 4, ntyp = 3
/
ATOMIC_SPECIES
Ni 58.69 Ni.upf
Pd 106.42 Pd.upf
Be 9.01 Be.upf
ATOMIC_POSITIONS crystal
Ni 0.5000 0.5000 0.0000
Pd 0.5000 0.5000 0.5000
Be 0.0000 0.0000 0.7752
Be 0.0000 0.0000 0.2248
CELL_PARAMETERS angstrom
2.7484 0.0000 0.0000
0.0000 2.7484 0.0000
0.0000 0.0000 5.3787

! Be3NiPd2 | the Alexandria database | PBE-GGA | optimized geometry; values from VASP
! * calculated total energy: -5.09 eV/atom
! * DFT formation energy: -0.537 eV/atom
! * space group: P4/mmm (123)
! * total magnetic moment: 0.0 μB per formula unit
&SYSTEM
  ibrav = 0, nat = 6, ntyp = 3
/
ATOMIC_SPECIES
Pd 106.42 Pd.upf
Ni 58.69 Ni.upf
Be 9.01 Be.upf
ATOMIC_POSITIONS crystal
Pd 0.5000 0.5000 0.8261
Pd 0.5000 0.5000 0.1739
Ni 0.5000 0.5000 0.5000
Be 0.0000 0.0000 0.6445
Be 0.0000 0.0000 0.0000
Be 0.0000 0.0000 0.3555
CELL_PARAMETERS angstrom
2.7829 0.0000 0.0000
0.0000 2.7829 0.0000
0.0000 0.0000 8.1860

! BeNi2Pd | the Alexandria database | PBE-GGA | optimized geometry; values from VASP
! * calculated total energy: -5.33 eV/atom
! * DFT formation energy: -0.210 eV/atom
! * space group: P4/mmm (123)
! * total magnetic moment: 0.4 μB per formula unit
&SYSTEM
  ibrav = 0, nat = 4, ntyp = 3
/
ATOMIC_SPECIES
Pd 106.42 Pd.upf
Ni 58.69 Ni.upf
Be 9.01 Be.upf
ATOMIC_POSITIONS crystal
Pd 0.5000 0.5000 0.5000
Ni 0.0000 0.0000 0.7987
Ni 0.0000 0.0000 0.2013
Be 0.5000 0.5000 0.0000
CELL_PARAMETERS angstrom
-2.4235 -0.9950 0.3917
0.6522 -0.6064 2.4948
-2.0211 5.6736 1.9074

! Be2NiPd2 | the Alexandria database | PBE-GGA | optimized geometry; values from VASP
! * calculated total energy: -4.94 eV/atom
! * DFT formation energy: -0.213 eV/atom
! * distance to the lowest polymorph of the same formula: 15.9 kJ/mol of atoms
! * space group: P4/mbm (127)
! * total magnetic moment: 0.0 μB per formula unit
&SYSTEM
  ibrav = 0, nat = 10, ntyp = 3
/
ATOMIC_SPECIES
Be 9.01 Be.upf
Ni 58.69 Ni.upf
Pd 106.42 Pd.upf
ATOMIC_POSITIONS crystal
Be 0.6556 0.8444 0.5000
Be 0.8444 0.3444 0.5000
Be 0.3444 0.1556 0.5000
Be 0.1556 0.6556 0.5000
Ni 0.5000 0.5000 0.0000
Ni 0.0000 0.0000 0.0000
Pd 0.1442 0.3558 0.0000
Pd 0.8558 0.6442 0.0000
Pd 0.3558 0.8558 0.0000
Pd 0.6442 0.1442 0.0000
CELL_PARAMETERS angstrom
6.6919 0.0000 0.0000
0.0000 6.6919 0.0000
0.0000 0.0000 2.6909